(1)
ScCdCl2 GGA-PBE relaxed; ρ = 4.1 Mg/m³; total moment = 0.9 μB/f.u.; polymorph energy (0 for the lowest one) = 845 meV/atom; formation energy from raw total energies = -0.44 eV/atom; symmetry = F-43m
1.0
7.162 0.000 0.000
0.000 7.162 0.000
0.000 0.000 7.162
Sc Cd Cl
4 4 8
direct
0.000 0.000 0.000
0.000 0.500 0.500
0.500 0.000 0.500
0.500 0.500 0.000
0.250 0.250 0.250
0.250 0.750 0.750
0.750 0.250 0.750
0.750 0.750 0.250
0.000 0.000 0.500
0.000 0.500 0.000
0.250 0.250 0.750
0.250 0.750 0.250
0.500 0.000 0.000
0.500 0.500 0.500
0.750 0.250 0.250
0.750 0.750 0.750

(2)
TlSiSb2 GGA-PBE relaxed; ρ = 7.6 Mg/m³; total moment = 0.0 μB/f.u.; polymorph energy (0 for the lowest one) = 284 meV/atom; formation energy from raw total energies = 0.46 eV/atom; symmetry = I-4m2
1.0
4.518 0.000 0.000
0.000 4.518 0.000
0.000 0.000 10.143
Tl Si Sb
2 2 4
direct
0.000 0.000 0.000
0.500 0.500 0.500
0.000 0.500 0.250
0.500 0.000 0.750
0.000 0.000 0.500
0.000 0.500 0.750
0.500 0.000 0.250
0.500 0.500 0.000

(3)
MnCu4Au GGA-PBE relaxed; ρ = 10.3 Mg/m³; ΔH_f (0 K) = 0.036 eV per atom; total moment = 4.2 μB/f.u.; polymorph energy (0 for the lowest one) = 19 meV/atom; symmetry = F-43m
1.0
0.000 3.440 3.440
3.440 0.000 3.440
3.440 3.440 0.000
Mn Cu Au
1 4 1
direct
0.000 0.000 0.000
0.124 0.625 0.625
0.625 0.124 0.625
0.625 0.625 0.124
0.625 0.625 0.625
0.250 0.250 0.250

(4)
Tb3Nd2Ho5 GGA-PBE relaxed; ρ = 8.0 Mg/m³; ΔH_f (0 K) = 0.193 eV per atom; total moment = 0.0 μB/f.u.; polymorph energy (0 for the lowest one) = 0 meV/atom; symmetry = C2/c
1.0
5.306 -8.004 0.000
5.306 8.004 0.000
-5.295 0.000 7.737
Tb Nd Ho
6 4 10
direct
0.021 0.979 0.750
0.221 0.467 0.451
0.467 0.221 0.951
0.533 0.779 0.049
0.779 0.533 0.549
0.979 0.021 0.250
0.014 0.270 0.046
0.270 0.014 0.546
0.730 0.986 0.454
0.986 0.730 0.954
0.143 0.389 0.777
0.230 0.770 0.750
0.275 0.725 0.250
0.389 0.143 0.277
0.474 0.526 0.250
0.526 0.474 0.750
0.611 0.857 0.723
0.725 0.275 0.750
0.770 0.230 0.250
0.857 0.611 0.223

(5)
Sm2TePd9 GGA-PBE relaxed; ρ = 10.8 Mg/m³; total moment = 0.0 μB/f.u.; formation energy from raw total energies = -0.60 eV/atom; symmetry = P4/mmm
1.0
4.153 0.000 0.000
0.000 4.153 0.000
0.000 0.000 12.375
Sm Te Pd
2 1 9
direct
0.000 0.000 0.167
0.000 0.000 0.833
0.000 0.000 0.500
0.000 0.500 0.000
0.000 0.500 0.341
0.000 0.500 0.659
0.500 0.000 0.000
0.500 0.000 0.341
0.500 0.000 0.659
0.500 0.500 0.173
0.500 0.500 0.500
0.500 0.500 0.827

(6)
LaSc2Ir GGA-PBE relaxed; ρ = 7.8 Mg/m³; ΔH_f (0 K) = -0.246 eV per atom; total moment = 0.6 μB/f.u.; polymorph energy (0 for the lowest one) = 245 meV/atom; symmetry = Pmmm
1.0
4.055 0.000 0.000
0.000 4.471 0.000
0.000 0.000 4.976
La Sc Ir
1 2 1
direct
0.000 0.000 0.000
0.000 0.500 0.500
0.500 0.000 0.500
0.500 0.500 0.000

(7)
Pu2ThU3P6 GGA-PBE relaxed; ρ = 10.0 Mg/m³; ΔH_f (0 K) = -1.112 eV per atom; total moment = 8.3 μB/f.u.; symmetry = C2/m
1.0
3.448 -5.955 0.000
3.448 5.955 0.000
-2.291 0.000 6.559
Pu Th U P
2 1 3 6
direct
0.167 0.833 0.000
0.833 0.167 0.000
0.500 0.500 0.000
0.000 0.000 0.500
0.335 0.665 0.500
0.665 0.335 0.500
0.074 0.412 0.740
0.245 0.245 0.258
0.412 0.074 0.740
0.588 0.926 0.260
0.755 0.755 0.742
0.926 0.588 0.260

(8)
Ba2In4Hg9 GGA-PBE relaxed; ρ = 9.6 Mg/m³; ΔH_f (0 K) = -0.217 eV per atom; total moment = 0.0 μB/f.u.; symmetry = P-3m1
1.0
5.126 0.000 0.000
-2.563 4.439 0.000
0.000 0.000 19.336
Ba In Hg
2 4 9
direct
0.333 0.667 0.261
0.667 0.333 0.739
0.333 0.667 0.611
0.333 0.667 0.885
0.667 0.333 0.115
0.667 0.333 0.389
0.000 0.000 0.000
0.000 0.000 0.168
0.000 0.000 0.360
0.000 0.000 0.640
0.000 0.000 0.832
0.333 0.667 0.062
0.333 0.667 0.460
0.667 0.333 0.540
0.667 0.333 0.938

(9)
LaPmZn2Ga2 GGA-PBE relaxed; ρ = 6.8 Mg/m³; ΔH_f (0 K) = -0.552 eV per atom; total moment = 0.0 μB/f.u.; symmetry = P-3m1
1.0
4.501 0.000 0.000
-2.251 3.898 0.000
0.000 0.000 7.744
La Pm Zn Ga
1 1 2 2
direct
0.000 0.000 0.000
0.000 0.000 0.500
0.333 0.667 0.274
0.667 0.333 0.726
0.333 0.667 0.735
0.667 0.333 0.265

(10)
LaAg2Ir GGA-PBE relaxed; ρ = 10.9 Mg/m³; ΔH_f (0 K) = -0.098 eV per atom; total moment = 0.0 μB/f.u.; polymorph energy (0 for the lowest one) = 163 meV/atom; symmetry = I-4m2
1.0
4.495 0.000 0.000
0.000 4.495 0.000
0.000 0.000 8.244
La Ag Ir
2 4 2
direct
0.000 0.000 0.000
0.500 0.500 0.500
0.000 0.000 0.500
0.000 0.500 0.250
0.500 0.000 0.750
0.500 0.500 0.000
0.000 0.500 0.750
0.500 0.000 0.250

(11)
Dy6PbS4 GGA-PBE relaxed; ρ = 8.4 Mg/m³; total moment = 0.0 μB/f.u.; formation energy from raw total energies = -1.57 eV/atom; symmetry = Cmcm
1.0
1.980 -6.535 0.000
1.980 6.535 0.000
0.000 0.000 20.108
Dy Pb S
12 2 8
direct
0.000 0.000 0.000
0.000 0.000 0.500
0.150 0.850 0.750
0.271 0.729 0.083
0.271 0.729 0.417
0.461 0.539 0.657
0.461 0.539 0.843
0.539 0.461 0.157
0.539 0.461 0.343
0.729 0.271 0.583
0.729 0.271 0.917
0.850 0.150 0.250
0.165 0.835 0.250
0.835 0.165 0.750
0.095 0.905 0.621
0.095 0.905 0.879
0.362 0.638 0.539
0.362 0.638 0.961
0.638 0.362 0.039
0.638 0.362 0.461
0.905 0.095 0.121
0.905 0.095 0.379

(12)
Ta2BeCd GGA-PBE relaxed; ρ = 12.1 Mg/m³; ΔH_f (0 K) = 0.329 eV per atom; total moment = 0.0 μB/f.u.; polymorph energy (0 for the lowest one) = 215 meV/atom; symmetry = P4/mmm
1.0
3.992 0.000 0.000
0.000 3.992 0.000
0.000 0.000 4.174
Ta Be Cd
2 1 1
direct
0.000 0.500 0.000
0.500 0.000 0.000
0.000 0.000 0.500
0.500 0.500 0.500